Entry 1:
RbTlSnBi: optimized geometry, GGA-PBE.

Cell: 5.7787 5.7787 5.7787 Å, 60.00 60.00 60.00°
With the nearest neighbours (Å) after each atom.
Positions (direct):
1 Rb 0.0000 0.0000 0.0000  4 Bi 3.54, 4 Tl 3.54
2 Tl 0.2500 0.2500 0.2500  4 Sn 3.54, 4 Rb 3.54
3 Sn 0.5000 0.5000 0.5000  4 Bi 3.54, 4 Tl 3.54
4 Bi 0.7500 0.7500 0.7500  4 Sn 3.54, 4 Rb 3.54

Its symmetry is F-43m (216). As for the density: 7.52 g/cm³. The distance to the lowest polymorph of the same formula comes out at 0.0908 eV/atom. For the energy of formation from the pure elements, the calculation gives 0.00 eV/atom.


Entry 2:
ZrZn2SbO8: optimized geometry, GGA-PBE.

Cell: 5.7638 5.7638 5.7638 Å, 109.22 109.22 109.97°
With the nearest neighbours (Å) after each atom.
Positions (direct):
1 Zr 0.0000 0.0000 0.0000  8 O 2.15-2.27
2 Zn 0.5000 0.5000 0.0000  4 O 1.92
3 Zn 0.7500 0.2500 0.5000  4 O 1.90
4 Sb 0.2500 0.7500 0.5000  8 O 2.07-2.19
5 O 0.2841 0.0927 0.8087  1 Zn 1.92, 1 Sb 2.07
6 O 0.2841 0.4754 0.1913  1 Zn 1.92, 1 Sb 2.07
7 O 0.3482 0.0273 0.3209  1 Zn 1.90
8 O 0.5246 0.7159 0.8087  1 Zn 1.92, 1 Sb 2.07
9 O 0.7064 0.0273 0.6791  1 Zn 1.90
10 O 0.9073 0.7159 0.1913  1 Zn 1.92, 1 Sb 2.07
11 O 0.9727 0.2936 0.3209  1 Zn 1.90
12 O 0.9727 0.6518 0.6791  1 Zn 1.90

Its symmetry is I-4m2 (119). As for the density: 5.32 g/cm³. For the formation energy from raw total energies, the calculation gives -1.319 eV per atom.